No. 1
The following is a PBE calculation of crystalline TbNdSm2Ho at its relaxed geometry, from Alexandria.

Properties
size of the total moment = 0.0 μB per cell
raw total energy = -4.404 eV/atom
ΔH_f (0 K) = 0.2786 eV per atom

a b c (Å): 8.3031 6.6523 6.1983
angles (deg): 90.00 90.90 90.00
Space group P2/c (No. 13)
Inequivalent atoms, fractional coordinates:
Tb  0.0000  0.0732  0.2500 x2
Nd  0.0000  0.5000  0.0000 x2
Sm  0.3076  0.1914  0.7450 x4
Ho  0.5000  0.3398  0.2500 x2



No. 2
The following is a PBE calculation of crystalline Tb2NdSmHo5 at its relaxed geometry, from Alexandria.

Properties
size of the total moment = 0.0 μB per cell
raw total energy = -4.349 eV/atom
ΔH_f (0 K) = 0.2769 eV per atom

a b c (Å): 8.8130 8.8130 15.0230
angles (deg): 90.00 90.00 90.00
Space group I4/mcm (No. 140)
Inequivalent atoms, fractional coordinates:
Tb  0.1149  0.3851  0.0000 x8
Nd  0.0000  0.0000  0.2500 x4
Sm  0.0000  0.5000  0.2500 x4
Ho  0.0000  0.0000  0.0000 x4
Ho  0.2054  0.2946  0.3664 x16



No. 3
The following is a PBE calculation of crystalline TbNdSmHo at its relaxed geometry, from Alexandria.

Properties
size of the total moment = 0.0 μB per cell
distance to the lowest polymorph of the same formula = 109 meV/atom
raw total energy = -4.548 eV/atom
ΔH_f (0 K) = 0.1259 eV per atom

a b c (Å): 8.0987 8.0987 8.0987
angles (deg): 90.00 90.00 90.00
Space group F-43m (No. 216)
Inequivalent atoms, fractional coordinates:
Tb  0.0000  0.0000  0.0000 x4
Nd  0.2500  0.2500  0.2500 x4
Sm  0.2500  0.2500  0.7500 x4
Ho  0.0000  0.0000  0.5000 x4



No. 4
The following is a PBE calculation of crystalline TbNd2Sm3Ho6 at its relaxed geometry, from Alexandria.

Properties
size of the total moment = 0.0 μB per cell
raw total energy = -4.635 eV/atom
ΔH_f (0 K) = 0.0143 eV per atom

a b c (Å): 6.2090 10.7496 11.7959
angles (deg): 90.00 100.06 90.00
Space group C2/m (No. 12)
Inequivalent atoms, fractional coordinates:
Tb  0.0000  0.0000  0.0000 x2
Nd  0.0000  0.3334  0.0000 x4
Sm  0.0000  0.1667  0.5000 x4
Sm  0.0000  0.5000  0.5000 x2
Ho  0.2491  0.0000  0.7495 x4
Ho  0.2501  0.1664  0.2503 x8